Entry from Alexandria: LaCe2Hg6 after structural relaxation (PBE-GGA).

Computed properties:
* energy above the lowest structure with this stoichiometry: 64 meV/atom
* ΔE_f: -293 kJ/mol of formula units

Unit cell a=3.491 b=9.146 c=9.146 alpha=57.28 beta=79.00 gamma=79.00
Last column: magnetic moment on the atom in μB.
Positions (direct):
Ce  0.650  0.850  0.850  1.05
Hg  0.830  0.843  0.498  0.01
Hg  0.170  0.157  0.502  0.01
La  0.500  0.500  0.500  0.14
Hg  0.000  0.172  0.828  0.01
Hg  0.830  0.498  0.843  0.01
Hg  0.170  0.502  0.157  0.01
Ce  0.350  0.150  0.150  1.05
Hg  0.000  0.828  0.172  0.01

---

Entry from Alexandria: LaCe2Hg8 after structural relaxation (PBE-GGA).

Computed properties:
* ΔE_f: -328 kJ/mol of formula units

Unit cell a=5.287 b=7.316 c=8.911 alpha=114.23 beta=107.26 gamma=90.00
Last column: magnetic moment on the atom in μB.
Positions (direct):
Hg  0.348  0.564  0.696  0.01
Hg  0.839  0.839  0.679  0.00
Hg  0.000  0.712  0.000  0.00
La  0.500  0.000  0.000  0.00
Hg  0.652  0.868  0.304  0.01
Ce  0.812  0.312  0.624  0.83
Hg  0.348  0.132  0.696  0.01
Hg  0.652  0.436  0.304  0.01
Ce  0.188  0.688  0.376  0.83
Hg  0.000  0.288  0.000  0.00
Hg  0.161  0.161  0.321  0.00

---

Entry from Alexandria: LaCeHg6 after structural relaxation (PBE-GGA).

Computed properties:
* ΔE_f: -285 kJ/mol of formula units

Unit cell a=5.090 b=6.892 c=6.892 alpha=119.99 beta=90.00 gamma=90.00
Last column: magnetic moment on the atom in μB.
Positions (direct):
Hg  0.000  0.069  0.408  0.01
Hg  0.500  0.422  0.087  0.01
La  0.500  0.415  0.585  0.00
Hg  0.500  0.913  0.578  0.01
Hg  0.000  0.592  0.931  0.01
Hg  0.000  0.587  0.413  0.01
Ce  0.000  0.085  0.915  0.91
Hg  0.500  0.918  0.082  0.01

---

Entry from Alexandria: La3CeHg2 after structural relaxation (PBE-GGA).

Computed properties:
* energy above the lowest structure with this stoichiometry: 268 meV/atom
* ΔE_f: -22 kJ/mol of formula units

Unit cell a=8.100 b=7.516 c=9.088 alpha=114.43 beta=116.47 gamma=90.00
Last column: magnetic moment on the atom in μB.
Positions (direct):
La  0.778  0.528  0.557  0.11
La  0.500  0.250  0.000  0.02
La  0.778  0.028  0.557  0.11
Hg  0.843  0.139  0.277  0.01
La  0.222  0.972  0.443  0.11
La  0.500  0.750  0.000  0.02
Hg  0.566  0.361  0.723  0.01
Ce  0.000  0.000  0.000  1.08
Hg  0.157  0.861  0.723  0.01
Ce  0.000  0.500  0.000  1.08
Hg  0.434  0.639  0.277  0.01
La  0.222  0.472  0.443  0.11

---

Entry from Alexandria: La4CeHg after structural relaxation (PBE-GGA).

Computed properties:
* ΔE_f: -74 kJ/mol of formula units

Unit cell a=3.681 b=3.681 c=14.548 alpha=90.00 beta=90.00 gamma=90.00
Positions (direct):
La  0.500  0.500  0.162
La  0.500  0.500  0.838
Hg  0.500  0.500  0.500
Ce  0.000  0.000  0.000
La  0.000  0.000  0.354
La  0.000  0.000  0.646

---

Entry from Alexandria: La2CeHg after structural relaxation (PBE-GGA).

Computed properties:
* energy above the lowest structure with this stoichiometry: 47 meV/atom
* ΔE_f: -62 kJ/mol of formula units

Unit cell a=6.796 b=5.600 c=6.834 alpha=90.00 beta=78.94 gamma=90.00
Last column: magnetic moment on the atom in μB.
Positions (direct):
La  0.871  0.750  0.228  0.03
Ce  0.342  0.750  0.414  0.73
La  0.570  0.250  0.115  0.03
La  0.129  0.250  0.772  0.03
Hg  0.905  0.750  0.726  0.00
La  0.430  0.750  0.885  0.03
Hg  0.095  0.250  0.274  0.00
Ce  0.658  0.250  0.586  0.73

---

Entry from Alexandria: LaCe2Hg after structural relaxation (PBE-GGA).

Computed properties:
* energy above the lowest structure with this stoichiometry: 0 meV/atom
* ΔE_f: -35 kJ/mol of formula units

Unit cell a=5.067 b=4.779 c=4.779 alpha=90.00 beta=90.00 gamma=90.00
Last column: magnetic moment on the atom in μB.
Positions (direct):
Hg  0.500  0.500  0.500  0.00
Ce  0.000  0.500  0.000  0.79
La  0.500  0.000  0.000  0.08
Ce  0.000  0.000  0.500  0.79

---

Entry from Alexandria: La2CeHg5 after structural relaxation (PBE-GGA).

Computed properties:
* ΔE_f: -318 kJ/mol of formula units

Unit cell a=5.362 b=5.362 c=8.578 alpha=108.21 beta=108.21 gamma=90.00
Last column: magnetic moment on the atom in μB.
Positions (direct):
Hg  0.882  0.382  0.764  0.00
La  0.270  0.270  0.539  -0.02
Hg  0.382  0.882  0.764  0.00
Ce  0.000  0.000  0.000  0.85
La  0.730  0.730  0.461  -0.02
Hg  0.500  0.500  0.000  0.00
Hg  0.618  0.118  0.236  0.00
Hg  0.118  0.618  0.236  0.00

---

Entry from Alexandria: La2CeHg after structural relaxation (PBE-GGA).

Computed properties:
* energy above the lowest structure with this stoichiometry: 159 meV/atom
* ΔE_f: -19 kJ/mol of formula units

Unit cell a=5.533 b=5.533 c=5.533 alpha=60.00 beta=60.00 gamma=60.00
Last column: magnetic moment on the atom in μB.
Positions (direct):
Hg  0.500  0.500  0.500  -0.01
Ce  0.000  0.000  0.000  1.18
La  0.250  0.250  0.250  0.27
La  0.750  0.750  0.750  0.27

---

Entry from Alexandria: La2CeHg3 after structural relaxation (PBE-GGA).

Computed properties:
* ΔE_f: -247 kJ/mol of formula units

Unit cell a=3.886 b=3.886 c=11.677 alpha=90.00 beta=90.00 gamma=90.00
Last column: magnetic moment on the atom in μB.
Positions (direct):
Hg  0.000  0.000  0.339  0.02
Hg  0.000  0.000  0.000  0.02
Hg  0.000  0.000  0.661  0.02
Ce  0.500  0.500  0.500  1.01
La  0.500  0.500  0.169  0.17
La  0.500  0.500  0.831  0.17

---

Entry from Alexandria: LaCe2Hg after structural relaxation (PBE-GGA).

Computed properties:
* energy above the lowest structure with this stoichiometry: 88 meV/atom
* ΔE_f: -1 kJ/mol of formula units

Unit cell a=5.412 b=5.412 c=5.412 alpha=60.00 beta=60.00 gamma=60.00
Last column: magnetic moment on the atom in μB.
Positions (direct):
Ce  0.750  0.750  0.750  0.97
Hg  0.000  0.000  0.000  0.00
La  0.500  0.500  0.500  0.43
Ce  0.250  0.250  0.250  0.97

---

Entry from Alexandria: Li2LaCeHg4 after structural relaxation (PBE-GGA).

Computed properties:
* ΔE_f: -315 kJ/mol of formula units

Unit cell a=5.185 b=5.185 c=9.029 alpha=73.32 beta=73.32 gamma=60.00
Last column: magnetic moment on the atom in μB.
Positions (direct):
Ce  0.500  0.500  0.500  0.78
Li  0.752  0.752  0.745  0.00
Hg  0.377  0.377  0.868  0.00
La  0.000  0.000  0.000  0.00
Hg  0.623  0.623  0.132  0.00
Li  0.248  0.248  0.255  0.00
Hg  0.126  0.126  0.621  0.01
Hg  0.874  0.874  0.379  0.01

---

Entry from Alexandria: LiLaCe2Hg4 after structural relaxation (PBE-GGA).

Computed properties:
* ΔE_f: -263 kJ/mol of formula units

Unit cell a=5.311 b=5.311 c=9.360 alpha=73.52 beta=73.52 gamma=60.00
Last column: magnetic moment on the atom in μB.
Positions (direct):
Hg  0.873  0.873  0.381  0.01
Hg  0.127  0.127  0.619  0.01
Ce  0.246  0.246  0.262  0.89
Ce  0.754  0.754  0.738  0.89
Hg  0.382  0.382  0.854  0.02
Hg  0.618  0.618  0.146  0.02
La  0.000  0.000  0.000  0.13
Li  0.500  0.500  0.500  0.00

---

Entry from Alexandria: LaCe2MgHg4 after structural relaxation (PBE-GGA).

Computed properties:
* ΔE_f: -273 kJ/mol of formula units

Unit cell a=5.290 b=5.290 c=9.485 alpha=73.81 beta=73.81 gamma=60.00
Last column: magnetic moment on the atom in μB.
Positions (direct):
La  0.000  0.000  0.000  0.12
Ce  0.244  0.244  0.268  0.86
Hg  0.379  0.379  0.862  0.02
Mg  0.500  0.500  0.500  0.00
Hg  0.126  0.126  0.622  0.01
Ce  0.756  0.756  0.732  0.86
Hg  0.874  0.874  0.378  0.01
Hg  0.621  0.621  0.138  0.02

---

Entry from Alexandria: LaCeMgHg after structural relaxation (PBE-GGA).

Computed properties:
* ΔE_f: -63 kJ/mol of formula units

Unit cell a=5.499 b=5.499 c=5.499 alpha=60.00 beta=60.00 gamma=60.00
Last column: magnetic moment on the atom in μB.
Positions (direct):
Mg  0.000  0.000  0.000  0.01
La  0.250  0.250  0.250  0.17
Hg  0.500  0.500  0.500  0.02
Ce  0.750  0.750  0.750  1.01

---

Entry from Alexandria: La2CeHgN after structural relaxation (PBE-GGA).

Computed properties:
* energy relative to the elements, uncorrected: -3.779 eV per formula unit

Unit cell a=4.855 b=5.138 c=5.138 alpha=90.00 beta=90.00 gamma=90.00
Last column: magnetic moment on the atom in μB.
Positions (direct):
La  0.000  0.500  0.000  0.02
N  0.000  0.000  0.000  -0.02
Hg  0.500  0.500  0.500  0.00
La  0.000  0.000  0.500  0.02
Ce  0.500  0.000  0.000  0.56

---

Entry from Alexandria: LaCe2NdHg4 after structural relaxation (PBE-GGA).

Computed properties:
* ΔE_f: -293 kJ/mol of formula units

Unit cell a=5.449 b=5.449 c=9.457 alpha=73.26 beta=73.26 gamma=60.00
Last column: magnetic moment on the atom in μB.
Positions (direct):
Nd  0.500  0.500  0.500  0.23
Ce  0.250  0.250  0.250  1.04
Hg  0.126  0.126  0.622  0.02
Ce  0.750  0.750  0.750  1.04
La  0.000  0.000  0.000  0.20
Hg  0.376  0.376  0.871  0.02
Hg  0.624  0.624  0.129  0.02
Hg  0.874  0.874  0.378  0.02

---

Entry from Alexandria: LaCeNdHg after structural relaxation (PBE-GGA).

Computed properties:
* ΔE_f: -12 kJ/mol of formula units

Unit cell a=5.497 b=5.497 c=5.497 alpha=60.00 beta=60.00 gamma=60.00
Last column: magnetic moment on the atom in μB.
Positions (direct):
Ce  0.000  0.000  0.000  1.13
Nd  0.750  0.750  0.750  0.27
Hg  0.500  0.500  0.500  -0.01
La  0.250  0.250  0.250  0.25

---

Entry from Alexandria: LaCeNd2Hg4 after structural relaxation (PBE-GGA).

Computed properties:
* ΔE_f: -332 kJ/mol of formula units

Unit cell a=5.452 b=5.452 c=9.466 alpha=73.26 beta=73.26 gamma=60.00
Last column: magnetic moment on the atom in μB.
Positions (direct):
Nd  0.249  0.249  0.253  0.21
Ce  0.500  0.500  0.500  1.04
Hg  0.624  0.624  0.128  0.02
Hg  0.874  0.874  0.377  0.02
Hg  0.376  0.376  0.872  0.02
Nd  0.751  0.751  0.747  0.21
Hg  0.126  0.126  0.623  0.02
La  0.000  0.000  0.000  0.17

---

Entry from Alexandria: LaCeNiHg after structural relaxation (PBE-GGA).

Computed properties:
* ΔE_f: -75 kJ/mol of formula units

Unit cell a=5.242 b=5.242 c=5.242 alpha=60.00 beta=60.00 gamma=60.00
Last column: magnetic moment on the atom in μB.
Positions (direct):
Ce  0.750  0.750  0.750  0.70
Ni  0.500  0.500  0.500  -0.08
Hg  0.000  0.000  0.000  0.00
La  0.250  0.250  0.250  0.04

---

Entry from Alexandria: LaCeHgO2 after structural relaxation (PBE-GGA).

Computed properties:
* energy relative to the elements, uncorrected: -12.204 eV per formula unit

Unit cell a=4.095 b=4.095 c=7.128 alpha=106.69 beta=106.69 gamma=90.00
Last column: magnetic moment on the atom in μB.
Positions (direct):
O  0.246  0.746  0.492  -0.01
Ce  0.162  0.162  0.324  0.74
O  0.746  0.246  0.492  -0.01
La  0.842  0.842  0.684  0.06
Hg  0.504  0.504  0.007  0.05

---

Entry from Alexandria: LaCe2Hg2Pb2 after structural relaxation (PBE-GGA).

Computed properties:
* ΔE_f: -168 kJ/mol of formula units

Unit cell a=5.001 b=5.001 c=9.930 alpha=75.42 beta=75.42 gamma=60.00
Last column: magnetic moment on the atom in μB.
Positions (direct):
Pb  0.271  0.271  0.186  -0.01
Pb  0.729  0.729  0.814  -0.01
Hg  0.434  0.434  0.697  0.01
Ce  0.857  0.857  0.429  1.15
La  0.000  0.000  0.000  0.03
Ce  0.143  0.143  0.571  1.15
Hg  0.566  0.566  0.303  0.01

---

Entry from Alexandria: LaCeHgPd after structural relaxation (PBE-GGA).

Computed properties:
* ΔE_f: -184 kJ/mol of formula units

Unit cell a=5.311 b=5.311 c=5.311 alpha=60.00 beta=60.00 gamma=60.00
Last column: magnetic moment on the atom in μB.
Positions (direct):
Hg  0.500  0.500  0.500  0.01
Ce  0.750  0.750  0.750  0.82
Pd  0.000  0.000  0.000  -0.02
La  0.250  0.250  0.250  0.04

---

Entry from Alexandria: LaCePmHg after structural relaxation (PBE-GGA).

Computed properties:
* ΔE_f: -9 kJ/mol of formula units

Unit cell a=5.555 b=5.555 c=5.555 alpha=60.00 beta=60.00 gamma=60.00
Last column: magnetic moment on the atom in μB.
Positions (direct):
La  0.750  0.750  0.750  0.12
Ce  0.250  0.250  0.250  0.87
Hg  0.000  0.000  0.000  -0.01
Pm  0.500  0.500  0.500  0.30

---

Entry from Alexandria: LaCePm2Hg4 after structural relaxation (PBE-GGA).

Computed properties:
* ΔE_f: -332 kJ/mol of formula units

Unit cell a=5.437 b=5.437 c=9.430 alpha=73.25 beta=73.25 gamma=60.00
Last column: magnetic moment on the atom in μB.
Positions (direct):
Hg  0.376  0.376  0.871  0.02
Pm  0.751  0.751  0.747  0.22
Hg  0.624  0.624  0.129  0.02
Ce  0.500  0.500  0.500  1.03
Hg  0.874  0.874  0.377  0.02
Pm  0.249  0.249  0.253  0.22
La  0.000  0.000  0.000  0.16
Hg  0.126  0.126  0.623  0.02

---

Entry from Alexandria: LaCe2PrHg4 after structural relaxation (PBE-GGA).

Computed properties:
* ΔE_f: -293 kJ/mol of formula units

Unit cell a=5.458 b=5.458 c=9.473 alpha=73.26 beta=73.26 gamma=60.00
Last column: magnetic moment on the atom in μB.
Positions (direct):
Ce  0.750  0.750  0.749  1.05
Hg  0.875  0.875  0.376  0.02
La  0.000  0.000  0.000  0.19
Hg  0.376  0.376  0.873  0.02
Ce  0.250  0.250  0.251  1.05
Pr  0.500  0.500  0.500  0.24
Hg  0.125  0.125  0.624  0.02
Hg  0.624  0.624  0.127  0.02

---

One value per record, in order, for total DFT energy (no corrections): -2.4048; -2.0556; -1.9533; -3.5916; -4.4519; -4.1829; -4.3640; -2.5737; -4.0708; -3.2087; -4.2760; -2.3953; -2.8305; -2.8037; -3.3536; -5.6390; -3.2262; -4.0146; -3.1304; -4.4308; -6.6567; -3.7938; -4.5647; -4.0015; -3.1260; -3.2276 eV/atom.